[1]
Density functional theory data (PBE) for crystalline Li6Ga2Hg at its relaxed geometry.

Geometry as extended XYZ:
```
9
Lattice="5.2489 -0.0166 -0.4819 -0.5540 5.2094 -0.6089 -0.0301 0.0892 5.2732" Properties=species:S:1:pos:R:3 pbc="T T T"
Ga 1.5793 1.7871 1.4149
Ga 3.0856 3.4949 2.7674
Li 0.5800 2.6766 3.9989
Li 4.0850 2.6054 0.1835
Li 2.5063 0.9423 4.0427
Li 0.4064 4.3731 2.0499
Li 2.1587 4.3397 0.1397
Li 4.2586 0.9089 2.1325
Hg 0.0000 0.0000 0.0000
```

ΔH_f (0 K) (eV per atom): -0.27
Energy above the lowest structure with this stoichiometry (eV/atom): 0.0000
V (Å³/atom): 16.04
Space-group type: R-3m (166)

***

[2]
Density functional theory data (PBE) for crystalline Li3Ga2Hg8 at its relaxed geometry.

Geometry as extended XYZ:
```
13
Lattice="-2.6977 -0.9648 -5.4111 6.3220 -4.9865 -2.4824 -7.2545 -2.6085 0.2195" Properties=species:S:1:pos:R:3 pbc="T T T"
Hg -0.4828 -2.9906 -3.8007
Hg 2.3144 -5.4602 -3.9341
Hg -5.9446 -3.0997 -3.7398
Hg 1.8493 -3.2307 -1.7626
Hg -3.1474 -5.5692 -3.8733
Hg -0.3208 -5.7209 -1.8187
Hg -3.3094 -2.8390 -5.8553
Hg -5.4795 -5.3291 -5.9113
Ga -3.1400 -2.8250 -2.8584
Ga -0.4902 -5.7349 -4.8156
Li 1.7856 -5.6022 -7.0503
Li -1.3489 -0.4824 -2.7055
Li -5.4158 -2.9577 -0.6237
```

ΔH_f (0 K) (eV per atom): -0.13
V (Å³/atom): 22.26
Space-group type: P-1 (2)

***

[3]
Density functional theory data (PBE) for crystalline Li3GaHg at its relaxed geometry.

Geometry as extended XYZ:
```
10
Lattice="-0.5698 -2.7397 3.6307 3.3867 2.8798 2.7046 -3.0604 6.0024 4.0491" Properties=species:S:1:pos:R:3 pbc="T T T"
Hg -0.5709 6.1931 8.9243
Hg 0.3273 -0.0507 1.4600
Ga 1.6847 4.5979 5.1808
Ga -1.9282 1.5446 5.2035
Li -0.1059 6.3376 6.2126
Li 1.0213 2.2184 3.2811
Li -0.9707 3.9689 4.2895
Li -0.1376 -0.1952 4.1718
Li -1.2648 3.9240 7.1032
Li 0.7271 2.1735 6.0949
```

ΔH_f (0 K) (eV per atom): -0.31
Energy above the lowest structure with this stoichiometry (eV/atom): 0.0000
V (Å³/atom): 16.87
Space-group type: P2_1/m (11)

***

[4]
Density functional theory data (PBE) for crystalline Li3Ga2Hg2 at its relaxed geometry.

Geometry as extended XYZ:
```
7
Lattice="-4.0502 -0.1869 -2.5964 2.7159 -3.5235 -0.1662 -2.0196 -1.8561 6.3543" Properties=species:S:1:pos:R:3 pbc="T T T"
Hg -0.7324 -3.5735 4.1771
Hg -2.6214 -1.9930 -0.5854
Ga -1.5176 -1.2642 1.9873
Ga -1.8362 -4.3022 1.6043
Li -0.0785 -2.8703 -0.0442
Li 0.0000 0.0000 0.0000
Li -3.2753 -2.6962 3.6358
```

ΔH_f (0 K) (eV per atom): -0.26
V (Å³/atom): 18.09
Space-group type: C2/m (12)

***

[5]
Density functional theory data (PBE) for crystalline LiGa2Hg at its relaxed geometry.

Geometry as extended XYZ:
```
8
Lattice="-0.8323 4.3754 0.3448 -5.8598 -1.1213 0.0848 2.1295 -0.0418 5.6708" Properties=species:S:1:pos:R:3 pbc="T T T"
Hg -2.6590 2.5018 5.2429
Hg -1.9036 0.7106 0.8574
Ga -3.9132 0.0738 4.0874
Ga -4.6725 0.1404 1.4092
Ga -0.6494 3.1385 2.0129
Ga 0.1099 3.0720 4.6911
Li -1.0412 0.6540 3.6576
Li -3.5214 2.5584 2.4427
```

ΔH_f (0 K) (eV per atom): -0.15
V (Å³/atom): 19.05
Space-group type: P2_1/m (11)

***

[6]
Density functional theory data (PBE) for crystalline Li2Ga2Hg at its relaxed geometry.

Geometry as extended XYZ:
```
10
Lattice="7.5263 0.0000 0.0000 0.0000 7.5263 0.0000 0.0000 0.0000 3.1244" Properties=species:S:1:pos:R:3 pbc="T T T"
Li 5.0923 6.1972 1.5622
Li 2.4341 1.3291 1.5622
Li 6.1972 2.4341 1.5622
Li 1.3291 5.0923 1.5622
Ga 2.8350 6.5982 0.0000
Ga 0.9281 2.8350 0.0000
Ga 6.5982 4.6913 0.0000
Ga 4.6913 0.9281 0.0000
Hg 3.7632 3.7632 0.0000
Hg 0.0000 0.0000 0.0000
```

ΔH_f (0 K) (eV per atom): -0.21
Energy above the lowest structure with this stoichiometry (eV/atom): 0.0198
V (Å³/atom): 17.70
Space-group type: P4/mbm (127)

***

[7]
Density functional theory data (PBE) for crystalline Li2Ga2Hg at its relaxed geometry.

Geometry as extended XYZ:
```
10
Lattice="-3.0695 3.1339 -3.1584 -5.4824 -0.6325 0.0749 -3.7183 5.1759 4.1237" Properties=species:S:1:pos:R:3 pbc="T T T"
Li -9.0523 5.6616 1.8185
Li -3.2179 2.0158 -0.7782
Li -6.9688 3.4202 2.1952
Li -5.3015 4.2571 -1.1550
Ga -8.0604 4.1132 -0.3884
Ga -4.2098 3.5641 1.4287
Ga -7.1173 2.7278 -2.6798
Ga -5.1530 4.9496 3.7200
Hg -6.2801 5.8892 0.9293
Hg -5.9901 1.7882 0.1110
```

ΔH_f (0 K) (eV per atom): -0.23
Energy above the lowest structure with this stoichiometry (eV/atom): 0.0000
V (Å³/atom): 17.62
Space-group type: C2/c (15)

***

[8]
Density functional theory data (PBE) for crystalline Li2GaHg at its relaxed geometry.

Geometry as extended XYZ:
```
8
Lattice="7.3731 0.0000 0.0000 0.0000 7.3731 0.0000 3.6866 3.6866 2.8688" Properties=species:S:1:pos:R:3 pbc="T T T"
Hg 0.0000 0.0000 0.0000
Hg 7.3731 3.6866 1.4344
Li 5.5147 1.8433 0.7172
Li 9.2164 9.2013 2.1516
Li 1.8584 5.5299 0.7172
Li 5.5299 5.5450 2.1516
Ga 3.6866 7.3731 1.4344
Ga 3.6866 3.6866 0.0000
```

ΔH_f (0 K) (eV per atom): -0.11
V (Å³/atom): 19.49
Space-group type: I-42d (122)

***

[9]
Density functional theory data (PBE) for crystalline LiGaHg at its relaxed geometry.

Geometry as extended XYZ:
```
3
Lattice="-2.8892 0.4945 -1.2084 -1.9063 -1.5052 3.9419 0.9888 4.4927 -0.5256" Properties=species:S:1:pos:R:3 pbc="T T T"
Hg -0.4761 0.0815 -0.1991
Li -1.9033 2.8232 0.1576
Ga -1.4273 0.5773 2.2494
```

ΔH_f (0 K) (eV per atom): -0.23
Energy above the lowest structure with this stoichiometry (eV/atom): 0.0000
V (Å³/atom): 19.62
Space-group type: P3m1 (156)

***

[10]
Density functional theory data (PBE) for crystalline Li5GaHg4 at its relaxed geometry.

Geometry as extended XYZ:
```
10
Lattice="3.3564 0.0000 0.0000 0.0000 3.3564 0.0000 0.0000 0.0000 16.0364" Properties=species:S:1:pos:R:3 pbc="T T T"
Hg 0.0000 0.0000 3.1234
Hg 0.0000 0.0000 9.6520
Hg 0.0000 0.0000 6.3843
Hg 0.0000 0.0000 12.9130
Li 1.6782 1.6782 1.5239
Li 1.6782 1.6782 8.0182
Li 1.6782 1.6782 14.5125
Li 1.6782 1.6782 11.2695
Li 1.6782 1.6782 4.7669
Ga 0.0000 0.0000 0.0000
```

ΔH_f (0 K) (eV per atom): -0.34
V (Å³/atom): 18.07
Space-group type: P4/mmm (123)

***

[11]
Density functional theory data (PBE) for crystalline Li6Ga5Hg at its relaxed geometry.

Geometry as extended XYZ:
```
12
Lattice="-1.7455 -2.6347 -2.4470 4.9534 -5.7982 2.7102 -4.8710 -2.7027 3.1202" Properties=species:S:1:pos:R:3 pbc="T T T"
Ga -4.3431 -3.5347 0.3750
Ga 0.2757 -4.6766 1.5746
Ga 2.4767 -2.8991 1.3551
Ga -1.9389 -6.4589 1.8088
Ga -2.2735 -1.8027 0.2983
Li 2.8058 -5.6231 0.7893
Li -2.2561 -3.7290 2.3601
Li -1.8130 -4.5904 -0.2930
Li 0.4020 -2.8098 -0.5261
Li 0.5929 -7.4066 1.0234
Li 0.1498 -6.5452 3.6765
Hg 0.0000 0.0000 0.0000
```

ΔH_f (0 K) (eV per atom): -0.27
V (Å³/atom): 16.35
Space-group type: Cmmm (65)

***

[12]
Density functional theory data (PBE) for crystalline LiGa2Hg at its relaxed geometry.

Geometry as extended XYZ:
```
4
Lattice="4.4987 0.0000 0.0000 2.2494 3.8960 0.0000 2.2494 1.2987 5.7017" Properties=species:S:1:pos:R:3 pbc="T T T"
Li 4.4987 2.5973 2.8509
Ga 6.7481 3.8960 2.7065
Ga 2.2494 1.2987 2.9952
Hg 0.0000 0.0000 0.0000
```

ΔH_f (0 K) (eV per atom): -0.06
V (Å³/atom): 24.98
Space-group type: R-3m (166)

***

[13]
Density functional theory data (PBE) for crystalline Li4GaHg2 at its relaxed geometry.

Geometry as extended XYZ:
```
7
Lattice="4.3719 0.0000 1.3659 1.9726 3.9016 1.3659 0.0102 0.0063 7.6470" Properties=species:S:1:pos:R:3 pbc="T T T"
Hg 4.7041 2.8928 7.9821
Hg 1.6505 1.0150 2.3967
Li 3.8657 2.3772 2.9860
Li 2.4889 1.5306 7.3927
Li 0.8385 0.5156 4.9958
Li 5.5161 3.3922 5.3830
Ga 0.0000 0.0000 0.0000
```

ΔH_f (0 K) (eV per atom): -0.30
Energy above the lowest structure with this stoichiometry (eV/atom): 0.0000
V (Å³/atom): 18.62
Space-group type: R-3m (166)

***

[14]
Density functional theory data (PBE) for crystalline Li3Ga5Hg12 at its relaxed geometry.

Geometry as extended XYZ:
```
80
Lattice="-13.2571 0.3407 4.5753 8.5213 -3.4159 10.6075 3.5558 12.6256 -4.9750" Properties=species:S:1:pos:R:3 pbc="T T T"
Hg -1.8148 3.3716 3.0001
Hg 7.1516 7.1363 3.3154
Hg 7.2216 8.9576 5.7815
Hg 2.9917 -0.9010 7.6775
Hg -8.3803 10.9475 1.0408
Hg -4.9989 1.0327 4.4081
Hg -2.1238 6.8576 0.3658
Hg -2.4007 0.5806 11.9702
Hg -8.4016 0.5928 4.4263
Hg 6.5314 4.6366 5.5825
Hg -0.3283 9.5877 4.4457
Hg 0.6347 6.1788 7.2076
Hg 2.8537 5.4705 9.2021
Hg -2.0954 7.1474 9.0748
Hg 1.6347 11.6665 -3.1624
Hg -0.7493 3.0408 7.3090
Hg -3.0722 10.0050 5.7496
Hg -5.1098 3.4383 6.3065
Hg 1.8921 -0.4545 4.4581
Hg 5.8039 9.0026 0.7505
Hg 0.9438 2.6928 9.8419
Hg -8.3316 2.4142 6.8923
Hg 3.9297 6.1121 3.9012
Hg -1.3413 10.8419 1.4169
Hg -7.7114 4.9138 4.6253
Hg -4.0337 4.0799 1.0056
Hg -3.1562 5.9002 4.8920
Hg 1.2206 8.9698 -1.7625
Hg -6.9839 0.5479 9.4572
Hg 0.9154 2.4030 1.1330
Hg 1.9762 3.6502 5.3158
Hg -0.4307 6.5096 2.8987
Hg 3.8188 8.5177 5.7996
Hg -2.8147 -2.1161 13.3701
Hg -6.9881 2.9557 2.3790
Hg 2.7926 9.1964 1.2963
Hg -9.0618 8.0274 1.6826
Hg -0.8518 -0.0373 5.7621
Hg 2.1227 4.9629 -0.0473
Hg 7.2003 -1.3971 9.1669
Hg -4.1718 10.4514 2.5302
Hg 7.8817 1.5230 8.5251
Hg 5.8081 6.5947 7.8288
Hg 0.1613 -1.2915 8.7908
Hg -4.7628 7.0560 2.5497
Hg -3.3027 4.5876 10.2550
Hg 3.5828 2.4944 7.6581
Hg -3.9726 0.3540 8.9114
Ga -2.3679 -1.5376 7.5914
Ga 0.0594 0.3804 10.8973
Ga 1.7779 6.3128 -2.4875
Ga -3.2836 2.8552 8.1955
Ga -3.6073 7.6324 6.9018
Ga 0.0000 0.0000 0.0000
Ga 4.2607 -1.7079 5.3038
Ga -6.6286 0.1703 2.2876
Ga 6.0386 4.6049 2.8162
Ga 1.2166 8.6984 6.4620
Ga -0.5900 4.7752 5.1039
Ga -1.2394 9.1700 -0.6896
Ga 2.1036 6.6952 2.0122
Ga 4.5864 -1.3255 9.8035
Ga 6.0673 2.2153 6.6619
Ga 2.4273 1.9180 3.3060
Ga -5.7664 10.8759 0.4042
Ga -4.8507 6.4831 -0.1999
Ga -7.2473 7.3351 3.5458
Ga -2.3966 0.8520 3.7457
Li 3.5845 10.2360 -1.1294
Li -9.6459 3.0275 4.0855
Li -0.9157 4.3928 0.6041
Li -2.4234 8.4012 3.1061
Li 8.4659 6.5229 6.1222
Li -6.3029 0.5527 6.7874
Li 1.2434 1.1492 7.1017
Li 3.6419 5.4569 6.5620
Li -4.7645 -0.6856 11.3371
Li 5.1228 8.9977 3.4204
Li -0.2643 5.1576 9.6036
Li -4.8220 4.0936 3.6458
```

ΔH_f (0 K) (eV per atom): 0.06
V (Å³/atom): 26.57
Space-group type: Ia-3d (230)

***

[15]
Density functional theory data (PBE) for crystalline LiGaHg2 at its relaxed geometry.

Geometry as extended XYZ:
```
4
Lattice="3.7211 0.0000 0.0000 0.0000 4.7057 0.0000 0.0000 0.0000 4.7057" Properties=species:S:1:pos:R:3 pbc="T T T"
Hg 0.0000 0.0000 2.3529
Hg 0.0000 2.3529 0.0000
Li 1.8605 2.3529 2.3529
Ga 1.8605 0.0000 0.0000
```

ΔH_f (0 K) (eV per atom): -0.16
V (Å³/atom): 20.60
Space-group type: P4/mmm (123)

***

[16]
Density functional theory data (PBE) for crystalline Li4GaHg2 at its relaxed geometry.

Geometry as extended XYZ:
```
7
Lattice="-2.6705 1.0396 0.8118 -1.7079 -6.5221 2.7338 4.5202 4.3793 3.7977" Properties=species:S:1:pos:R:3 pbc="T T T"
Hg 1.1535 1.0340 2.4703
Hg -1.0116 -2.1373 4.8730
Li 0.8462 2.8261 4.6285
Li -0.7043 -3.9294 2.7148
Li 1.3086 -0.4073 4.8262
Li -1.1667 -0.6960 2.5171
Ga 0.0000 0.0000 0.0000
```

ΔH_f (0 K) (eV per atom): -0.20
Energy above the lowest structure with this stoichiometry (eV/atom): 0.0912
V (Å³/atom): 19.37
Space-group type: C2/m (12)

***

[17]
Density functional theory data (PBE) for crystalline Li3Ga4Hg2 at its relaxed geometry.

Geometry as extended XYZ:
```
9
Lattice="-1.7213 3.2478 -2.6191 0.2347 -5.0476 -2.5245 -6.1163 1.2776 5.6038" Properties=species:S:1:pos:R:3 pbc="T T T"
Ga -5.9711 -0.5266 3.2712
Ga -2.3354 0.2484 1.8429
Ga -5.2674 -0.7706 -1.3826
Ga -1.6318 0.0044 -2.8110
Li -2.4763 -1.8498 -0.6664
Li 0.0000 0.0000 0.0000
Li -5.1265 1.3276 1.1266
Hg -4.8553 -1.6783 1.1098
Hg -2.7476 1.1561 -0.6496
```

ΔH_f (0 K) (eV per atom): -0.24
Energy above the lowest structure with this stoichiometry (eV/atom): 0.0000
V (Å³/atom): 18.79
Space-group type: C2/m (12)

***

[18]
Density functional theory data (PBE) for crystalline Li2Ga2Hg at its relaxed geometry.

Geometry as extended XYZ:
```
10
Lattice="4.5207 0.0000 0.0000 2.2604 4.9868 0.4315 2.2604 1.4592 8.5496" Properties=species:S:1:pos:R:3 pbc="T T T"
Ga 2.2604 4.1757 1.3963
Ga 6.7811 3.9365 5.5606
Ga 6.7811 2.2703 7.5848
Ga 2.2604 2.5095 3.4205
Li 6.7811 5.0624 8.2621
Li 2.2603 1.3836 0.7190
Li 4.5207 2.0804 5.5455
Li 4.5207 4.3656 3.4356
Hg 4.5207 1.2686 2.6848
Hg 4.5207 5.1774 6.2963
```

ΔH_f (0 K) (eV per atom): -0.22
Energy above the lowest structure with this stoichiometry (eV/atom): 0.0118
V (Å³/atom): 18.99
Space-group type: C2/m (12)

***

[19]
Density functional theory data (PBE) for crystalline Li2GaHg at its relaxed geometry.

Geometry as extended XYZ:
```
4
Lattice="3.1727 0.0000 0.0000 0.0000 4.6293 0.0000 0.0000 0.0000 4.6293" Properties=species:S:1:pos:R:3 pbc="T T T"
Li 0.0000 0.0000 2.3147
Li 0.0000 2.3147 0.0000
Ga 1.5864 0.0000 0.0000
Hg 1.5864 2.3147 2.3147
```

ΔH_f (0 K) (eV per atom): -0.32
V (Å³/atom): 17.00
Space-group type: P4/mmm (123)

***

[20]
Density functional theory data (PBE) for crystalline Li8Ga2Hg at its relaxed geometry.

Geometry as extended XYZ:
```
11
Lattice="-2.5794 2.9531 1.0896 -3.2255 -0.9139 -5.1588 -2.1604 -6.1947 4.0751" Properties=species:S:1:pos:R:3 pbc="T T T"
Li -1.5783 -1.4722 0.2539
Li -6.3870 -2.6833 -0.2480
Li -4.5371 -4.3046 0.9258
Li -3.4282 0.1490 -0.9199
Li -2.7282 -1.1556 -3.3264
Li -5.2371 -2.9999 3.3323
Li -5.4977 -1.1005 -2.4324
Li -2.4676 -3.0550 2.4383
Ga -3.5990 -2.7226 -1.1408
Ga -4.3663 -1.4329 1.1467
Hg -1.2897 1.4765 0.5448
```

ΔH_f (0 K) (eV per atom): -0.25
V (Å³/atom): 16.67
Space-group type: C2/m (12)